No. 1
VASP calculation (PBE) on crystalline Er2Mg at its relaxed geometry.

For the formation energy, the calculation gives 0.29 eV/atom. The volume comes out at 724.9 Å³/cell.

The structure belongs to space group Fd-3m (No. 227, origin choice 2); the cell edges are 8.983, 8.983 and 8.983 Å and the angles 90.00°, 90.00° and 90.00°. The asymmetric unit holds Er at (0.000, 0.000, 0.000) and Mg at (0.125, 0.125, 0.625).

***

No. 2
VASP calculation (PBE) on crystalline Er3Mg2 at its relaxed geometry.

For the formation energy, the calculation gives -0.04 eV/atom. The calculation puts the energy above the most stable polymorph in this dataset at 0.000 eV/f.u. The volume comes out at 276.5 Å³/cell.

The structure belongs to space group P4/mmm (No. 123); the cell edges are 3.605, 3.605 and 21.277 Å and the angles 90.00°, 90.00° and 90.00°. The asymmetric unit holds Er at (0.000, 0.000, 0.000), Er at (0.000, 0.000, 0.189), Er at (0.000, 0.000, 0.387), Er at (0.500, 0.500, 0.500), Mg at (0.500, 0.500, 0.095) and Mg at (0.500, 0.500, 0.287).

***

No. 3
VASP calculation (PBE) on crystalline Er3Mg at its relaxed geometry.

For the formation energy, the calculation gives 0.06 eV/atom. The volume comes out at 457.4 Å³/cell.

The structure belongs to space group Fm-3m (No. 225); the cell edges are 7.705, 7.705 and 7.705 Å and the angles 90.00°, 90.00° and 90.00°. The asymmetric unit holds Er at (0.000, 0.000, 0.000), Er at (0.250, 0.250, 0.250) and Mg at (0.000, 0.000, 0.500).

***

No. 4
VASP calculation (PBE) on crystalline Er3Mg11 at its relaxed geometry.

For the formation energy, the calculation gives 0.00 eV/atom. The volume comes out at 704.1 Å³/cell.

The structure belongs to space group Immm (No. 71); the cell edges are 4.979, 11.255 and 12.566 Å and the angles 90.00°, 90.00° and 90.00°. The asymmetric unit holds Er at (0.000, 0.000, 0.000), Er at (0.000, 0.000, 0.280), Mg at (0.000, 0.153, 0.500), Mg at (0.000, 0.272, 0.145), Mg at (0.000, 0.373, 0.367) and Mg at (0.000, 0.500, 0.000).